[1]
# PuGeSb, relaxed, DFT PBE
# Theoretical density = 10.04 g/cm3
# M_tot = 5.73 μB per formula unit
# DOS at the Fermi energy = 3.158 states/eV/atom
# Energy relative to the elements, uncorrected = -197.2 meV/atom
data_PuGeSb
_cell_length_a 3.193
_cell_length_b 5.121
_cell_length_c 5.121
_cell_angle_alpha 120.00
_cell_angle_beta 90.00
_cell_angle_gamma 90.00
_space_group_name_H-M_alt 'P 1'
_space_group_IT_number 1
_space_group_name_Hall 'P 1'
loop_
_atom_site_label
_atom_site_type_symbol
_atom_site_fract_x
_atom_site_fract_y
_atom_site_fract_z
_atom_site_occupancy
Pu1 Pu 0.000 0.000 0.000 1
Ge1 Ge 0.499 0.667 0.333 1
Sb1 Sb 0.500 0.333 0.667 1

[2]
# NbSiPtF2, relaxed, DFT PBE
# Theoretical density = 6.95 g/cm3
# M_tot = 0.00 μB per formula unit
# DOS at the Fermi energy = 0.600 states/eV/atom
# Energy relative to the elements, uncorrected = -1042.2 meV/atom
data_NbSiPtF2
_cell_length_a 3.943
_cell_length_b 5.444
_cell_length_c 3.943
_cell_angle_alpha 90.00
_cell_angle_beta 90.00
_cell_angle_gamma 90.00
_space_group_name_H-M_alt 'P 1'
_space_group_IT_number 1
_space_group_name_Hall 'P 1'
loop_
_atom_site_label
_atom_site_type_symbol
_atom_site_fract_x
_atom_site_fract_y
_atom_site_fract_z
_atom_site_occupancy
F1 F 0.500 0.000 0.000 1
F2 F 0.000 0.000 0.500 1
Si1 Si 0.500 0.500 0.500 1
Nb1 Nb 0.000 0.000 0.000 1
Pt1 Pt 0.000 0.500 0.000 1

[3]
# MnHg2Cl, relaxed, DFT PBE
# Theoretical density = 8.96 g/cm3
# M_tot = 4.22 μB per formula unit
# DOS at the Fermi energy = 0.505 states/eV/atom
# Energy relative to the elements, uncorrected = 30.2 meV/atom
data_MnHg2Cl
_cell_length_a 8.373
_cell_length_b 8.373
_cell_length_c 8.373
_cell_angle_alpha 24.83
_cell_angle_beta 24.83
_cell_angle_gamma 24.83
_space_group_name_H-M_alt 'P 1'
_space_group_IT_number 1
_space_group_name_Hall 'P 1'
loop_
_atom_site_label
_atom_site_type_symbol
_atom_site_fract_x
_atom_site_fract_y
_atom_site_fract_z
_atom_site_occupancy
Hg1 Hg 0.005 0.005 0.005 1
Hg2 Hg 0.495 0.495 0.495 1
Mn1 Mn 0.750 0.750 0.750 1
Cl1 Cl 0.250 0.250 0.250 1